The following is a DFT calculation (PBE+U) of a relaxed structure of NaFeGe2O.

Cell and atoms, written as POSCAR:
```
NaFeGe2O
1.0
4.4712 0.0000 0.0000
0.0000 4.4712 0.0000
0.0000 0.0000 4.2483
Na Fe Ge O
1 1 2 1
Direct
0.0000 0.0000 0.0000
0.5000 0.5000 0.0000
0.0000 0.5000 0.5000
0.5000 0.0000 0.5000
0.0000 0.0000 0.5000
```

- raw total energy (eV/atom) = -4.19